[1]
Compound: ReB
Source: Alexandria via LeMat-Bulk
Functional: PBE
Structure: relaxed

abc: 3.6814 3.6814 4.2910
angles: 90.00 90.00 120.00
Closest atoms and distances in Å follow each position.
Atoms (fractional coordinates):
Re1 0.3333 0.6667 0.7500  5 B 2.13-2.15
Re2 0.6667 0.3333 0.2500  5 B 2.13-2.15
B1 0.3333 0.6667 0.2500  5 Re 2.13-2.15
B2 0.6667 0.3333 0.7500  5 Re 2.13-2.15

Values from the calculation:
* formation energy: 0.094 eV per atom

=====

[2]
Compound: Ba8PPt3Cl4
Source: Alexandria via LeMat-Bulk
Functional: PBE
Structure: relaxed

abc: 9.1704 9.5160 9.1696
angles: 118.82 120.00 90.00
Closest atoms and distances in Å follow each position.
Atoms (fractional coordinates):
Ba1 0.2403 0.7178 0.9778  2 Pt 3.15, 1 P 3.17, 3 Cl 3.45-3.47
Ba2 0.2403 0.7177 0.4807  2 Pt 3.15, 1 P 3.17, 3 Cl 3.45-3.47
Ba3 0.2557 0.2671 0.5113  3 Pt 3.22, 3 Cl 3.38-3.39
Ba4 0.7375 0.7178 0.9778  2 Pt 3.15, 1 P 3.17, 3 Cl 3.45-3.47
Ba5 0.2625 0.2822 0.0222  2 Pt 3.15, 1 P 3.17, 3 Cl 3.45-3.47
Ba6 0.7443 0.7329 0.4887  3 Pt 3.22, 3 Cl 3.38-3.39
Ba7 0.7597 0.2823 0.5193  2 Pt 3.15, 1 P 3.17, 3 Cl 3.45-3.47
Ba8 0.7597 0.2822 0.0222  2 Pt 3.15, 1 P 3.17, 3 Cl 3.45-3.47
P1 0.0000 0.5000 0.0000  6 Ba 3.17
Pt1 0.5000 0.5000 0.0000  6 Ba 3.15-3.22
Pt2 0.5000 0.5000 0.5000  6 Ba 3.15-3.22
Pt3 0.0000 0.5000 0.5000  6 Ba 3.15-3.22
Cl1 0.5000 0.0000 0.0000  6 Ba 3.45
Cl2 0.5000 0.0000 0.5000  6 Ba 3.39-3.47
Cl3 0.0000 0.0000 0.0000  6 Ba 3.38-3.47
Cl4 0.0000 0.0000 0.5000  6 Ba 3.39-3.47

Values from the calculation:
* raw formation energy: -138 kJ/mol of atoms

=====

[3]
Compound: Ba2YSi
Source: Alexandria via LeMat-Bulk
Functional: PBE
Structure: relaxed

abc: 9.2087 9.2087 9.2087
angles: 30.72 30.72 30.72
Closest atoms and distances in Å follow each position.
Atoms (fractional coordinates):
Ba1 0.0327 0.0327 0.0327  3 Si 3.69, 3 Y 3.74
Ba2 0.2180 0.2180 0.2180  3 Y 3.71, 3 Si 3.76
Si1 0.4564 0.4564 0.4564  3 Y 2.82
Y1 0.7928 0.7928 0.7928  3 Si 2.82

Values from the calculation:
* raw formation energy: -16 kJ/mol of atoms

=====

[4]
Compound: Sr2ZnAs4Pd3
Source: Alexandria via LeMat-Bulk
Functional: PBE
Structure: relaxed

abc: 4.4221 4.4221 10.5215
angles: 90.00 90.00 90.00
Closest atoms and distances in Å follow each position.
Atoms (fractional coordinates):
Sr1 0.5000 0.0000 0.2461  8 As 3.36-3.40, 6 Pd 3.38-3.47, 2 Zn 3.47
Sr2 0.0000 0.5000 0.7539  8 As 3.36-3.40, 6 Pd 3.38-3.47, 2 Zn 3.47
Zn1 0.5000 0.5000 0.5000  4 As 2.64
As1 0.5000 0.5000 0.0000  4 Pd 2.56
As2 0.0000 0.0000 0.0000  4 Pd 2.56
As3 0.5000 0.0000 0.6365  3 Pd 2.53-2.64, 2 Zn 2.64
As4 0.0000 0.5000 0.3635  3 Pd 2.53-2.64, 2 Zn 2.64
Pd1 0.0000 0.0000 0.5000  4 As 2.64
Pd2 0.5000 0.0000 0.8771  5 As 2.53-2.56
Pd3 0.0000 0.5000 0.1229  5 As 2.53-2.56

Values from the calculation:
* formation energy: -0.732 eV per atom

=====

[5]
Compound: LaNd4DyTm2
Source: Alexandria via LeMat-Bulk
Functional: PBE
Structure: relaxed

abc: 5.1396 6.2682 9.5930
angles: 89.56 74.46 65.80
Closest atoms and distances in Å follow each position.
Atoms (fractional coordinates):
La1 0.0000 0.0000 0.0000  8 Nd 3.63, 4 Tm 3.66
Nd1 0.1257 0.1250 0.6237  4 Tm 3.58-3.63, 3 Dy 3.62, 4 Nd 3.62-3.63, 1 La 3.63
Nd2 0.3760 0.3752 0.8728  1 Dy 3.60, 4 Tm 3.61-3.66, 3 La 3.63, 4 Nd 3.63-3.66
Nd3 0.8743 0.8750 0.3763  4 Tm 3.58-3.63, 3 Dy 3.62, 4 Nd 3.62-3.63, 1 La 3.63
Nd4 0.6240 0.6248 0.1272  1 Dy 3.60, 4 Tm 3.61-3.66, 3 La 3.63, 4 Nd 3.63-3.66
Dy1 0.5000 0.5000 0.5000  8 Nd 3.60-3.62, 4 Tm 3.61
Tm1 0.7537 0.7460 0.7465  8 Nd 3.58-3.66, 2 Dy 3.61, 2 La 3.66
Tm2 0.2463 0.2540 0.2535  8 Nd 3.58-3.66, 2 Dy 3.61, 2 La 3.66

Values from the calculation:
* formation energy: 0.023 eV per atom

=====

[6]
Compound: Ba2Ni2Ag
Source: Alexandria via LeMat-Bulk
Functional: PBE
Structure: relaxed

abc: 3.6878 3.6878 10.0134
angles: 79.39 79.39 90.00
Closest atoms and distances in Å follow each position.
Atoms (fractional coordinates):
Ni1 0.7500 0.2500 0.5000  4 Ni 2.61
Ni2 0.2500 0.7500 0.5000  4 Ni 2.61
Ba1 0.3772 0.3772 0.2456  4 Ni 3.07
Ba2 0.6228 0.6228 0.7544  4 Ni 3.07
Ag1 0.0000 0.0000 0.0000  8 Ba 3.53, 4 Ag 3.69

Values from the calculation:
* formation energy: 0.173 eV per atom

=====

no.,total energy (eV/atom),calculated density (g/cm³),density of states at the Fermi level (states/eV per cell)
1,-9.469,12.99,1.67
2,-4.322,5.36,9.73
3,-4.102,3.60,4.68
4,-4.614,6.94,3.27
5,-4.670,7.49,12.05
6,-3.479,6.31,4.72